(1)
Below is IrAu2Se after structural relaxation, with properties calculated at the PBE-GGA level.

Summary:
- E_tot (eV/atom) = -4.230
- calculated volume (Å³/cell) = 73.8
- symmetry = No. 123
- uncorrected formation energy (eV per atom) = 0.495

Unit cell a=2.7817 b=2.7817 c=9.5334 alpha=90.00 beta=90.00 gamma=90.00
Sites, in units of the cell vectors:
Ir (0.0000, 0.0000, 0.0000)
Au (0.5000, 0.5000, 0.2228)
Au (0.5000, 0.5000, 0.7772)
Se (0.0000, 0.0000, 0.5000)

=====

(2)
Below is Sn2IrAuSe after structural relaxation, with properties calculated at the PBE-GGA level.

Summary:
- E_tot (eV/atom) = -4.406
- calculated volume (Å³/cell) = 131.2
- symmetry = No. 123
- uncorrected formation energy (eV per atom) = 0.320

Unit cell a=5.2287 b=5.2287 c=4.8003 alpha=90.00 beta=90.00 gamma=90.00
Sites, in units of the cell vectors:
Sn (0.0000, 0.5000, 0.0000)
Sn (0.5000, 0.0000, 0.0000)
Ir (0.0000, 0.0000, 0.0000)
Au (0.5000, 0.5000, 0.5000)
Se (0.0000, 0.0000, 0.5000)

=====

(3)
Below is Tc2IrAuSe after structural relaxation, with properties calculated at the PBE-GGA level.

Summary:
- E_tot (eV/atom) = -6.112
- calculated volume (Å³/cell) = 95.0
- symmetry = No. 123
- uncorrected formation energy (eV per atom) = 1.159

Unit cell a=4.5579 b=4.5579 c=4.5714 alpha=90.00 beta=90.00 gamma=90.00
Sites, in units of the cell vectors:
Tc (0.0000, 0.5000, 0.0000)
Tc (0.5000, 0.0000, 0.0000)
Ir (0.0000, 0.0000, 0.5000)
Au (0.5000, 0.5000, 0.5000)
Se (0.0000, 0.0000, 0.0000)

=====

(4)
Below is Th4Ir2AuSe after structural relaxation, with properties calculated at the PBE-GGA level.

Summary:
- E_tot (eV/atom) = -7.823
- calculated volume (Å³/cell) = 216.2
- symmetry = No. 10
- uncorrected formation energy (eV per atom) = -1.053

Unit cell a=7.3486 b=4.1143 c=7.5197 alpha=90.00 beta=108.01 gamma=90.00
Sites, in units of the cell vectors:
Th (0.2413, 0.0000, 0.2207)
Th (0.2577, 0.5000, 0.7782)
Th (0.7423, 0.5000, 0.2218)
Th (0.7587, 0.0000, 0.7793)
Ir (0.0000, 0.5000, 0.0000)
Ir (0.5000, 0.0000, 0.0000)
Au (0.5000, 0.5000, 0.5000)
Se (0.0000, 0.0000, 0.5000)

=====

(5)
Below is Th6Ir3AuSe2 after structural relaxation, with properties calculated at the PBE-GGA level.

Summary:
- E_tot (eV/atom) = -7.921
- calculated volume (Å³/cell) = 324.9
- symmetry = No. 12
- uncorrected formation energy (eV per atom) = -1.142

Unit cell a=9.6236 b=9.6236 c=8.7089 alpha=105.39 beta=105.39 gamma=24.74
Sites, in units of the cell vectors:
Th (0.0056, 0.0056, 0.2335)
Th (0.3262, 0.3262, 0.4276)
Th (0.3408, 0.3408, 0.8947)
Th (0.6592, 0.6592, 0.1053)
Th (0.6738, 0.6738, 0.5724)
Th (0.9944, 0.9944, 0.7665)
Ir (0.1667, 0.1667, 0.3378)
Ir (0.5000, 0.5000, 0.0000)
Ir (0.8333, 0.8333, 0.6622)
Au (0.5000, 0.5000, 0.5000)
Se (0.1708, 0.1708, 0.8440)
Se (0.8292, 0.8292, 0.1560)

=====

(6)
Below is Th6Ir2AuSe3 after structural relaxation, with properties calculated at the PBE-GGA level.

Summary:
- E_tot (eV/atom) = -7.549
- calculated volume (Å³/cell) = 329.7
- symmetry = No. 12
- uncorrected formation energy (eV per atom) = -1.218

Unit cell a=7.2245 b=7.2245 c=7.6780 alpha=99.05 beta=99.05 gamma=119.93
Sites, in units of the cell vectors:
Th (0.0726, 0.4232, 0.7711)
Th (0.2248, 0.2248, 0.2257)
Th (0.4232, 0.0726, 0.7711)
Th (0.5768, 0.9274, 0.2289)
Th (0.7752, 0.7752, 0.7743)
Th (0.9274, 0.5768, 0.2289)
Ir (0.1674, 0.8326, 0.0000)
Ir (0.8326, 0.1674, 0.0000)
Au (0.5000, 0.5000, 0.0000)
Se (0.0000, 0.0000, 0.5000)
Se (0.3394, 0.6606, 0.5000)
Se (0.6606, 0.3394, 0.5000)

=====

(7)
Below is SiIrAu2 after structural relaxation, with properties calculated at the PBE-GGA level.

Summary:
- E_tot (eV/atom) = -4.824
- calculated volume (Å³/cell) = 66.9
- symmetry = No. 123
- uncorrected formation energy (eV per atom) = 0.386

Unit cell a=3.5590 b=3.5590 c=5.2848 alpha=90.00 beta=90.00 gamma=90.00
Sites, in units of the cell vectors:
Si (0.0000, 0.0000, 0.0000)
Ir (0.0000, 0.0000, 0.5000)
Au (0.5000, 0.5000, 0.2487)
Au (0.5000, 0.5000, 0.7513)

=====

(8)
Below is SiIr2Au2 after structural relaxation, with properties calculated at the PBE-GGA level.

Summary:
- E_tot (eV/atom) = -5.961
- calculated volume (Å³/cell) = 168.2
- symmetry = No. 127
- uncorrected formation energy (eV per atom) = -0.021

Unit cell a=6.0985 b=6.0985 c=4.5216 alpha=90.00 beta=90.00 gamma=90.00
Sites, in units of the cell vectors:
Si (0.0000, 0.0000, 0.0000)
Si (0.5000, 0.5000, 0.0000)
Ir (0.1468, 0.3532, 0.0000)
Ir (0.3532, 0.8532, 0.0000)
Ir (0.6468, 0.1468, 0.0000)
Ir (0.8532, 0.6468, 0.0000)
Au (0.1693, 0.6693, 0.5000)
Au (0.3307, 0.1693, 0.5000)
Au (0.6693, 0.8307, 0.5000)
Au (0.8307, 0.3307, 0.5000)